Crystalline HfMgZn2 at its relaxed geometry, computed with GGA-PBE.

Lattice parameters (Å, degrees): 7.238 7.238 5.940 52.47 52.47 90.00
Sites, in units of the cell vectors:
Zn (0.615, 0.125, 0.250)
Zn (0.135, 0.625, 0.250)
Zn (0.375, 0.385, 0.750)
Zn (0.875, 0.865, 0.750)
Hf (0.000, 0.000, 0.000)
Hf (0.750, 0.250, 0.500)
Mg (0.500, 0.500, 0.000)
Mg (0.250, 0.750, 0.500)

Calculated values
ΔH_f (0 K): 0.260 eV/atom
total energy: -3.264 eV per atom
magnetic moment: 0.000 μB per atom
DOS(E_F): 2.6 states/eV/f.u.

=====

Crystalline HfMgZrZn at its relaxed geometry, computed with GGA-PBE.

Lattice parameters (Å, degrees): 3.136 3.136 8.316 90.00 90.00 90.00
Sites, in units of the cell vectors:
Hf (0.000, 0.000, 0.074)
Mg (0.500, 0.500, 0.790)
Zr (0.500, 0.500, 0.342)
Zn (0.000, 0.000, 0.579)

Calculated values
ΔH_f (0 K): -0.093 eV/atom
total energy: -5.436 eV per atom
magnetic moment: 0.000 μB per atom
DOS(E_F): 3.7 states/eV/f.u.

=====

Crystalline Hf2MgZr at its relaxed geometry, computed with GGA-PBE.

Lattice parameters (Å, degrees): 3.141 3.141 9.167 90.00 90.00 90.00
Sites, in units of the cell vectors:
Mg (0.500, 0.500, 0.000)
Hf (0.000, 0.000, 0.743)
Hf (0.000, 0.000, 0.257)
Zr (0.500, 0.500, 0.500)

Calculated values
ΔH_f (0 K): 0.065 eV/atom
total energy: -7.448 eV per atom
magnetic moment: 0.000 μB per atom
DOS(E_F): 4.2 states/eV/f.u.

=====

Which formula does entry 2 have?
HfMgZrZn

=====

Which value of total energy does entry 3 give?
-7.448 eV per atom